# 1
{"formula": "LaH6Pd5", "functional": "PBE-GGA", "state": "relaxed", "lattice_angstrom": [[-0.409, -4.106, -2.735], [5.108, -1.617, -1.750], [0.577, -3.215, 3.731]], "species": ["La", "H", "H", "H", "H", "H", "H", "Pd", "Pd", "Pd", "Pd", "Pd"], "fractional_positions": [[0.000, 0.000, 0.000], [0.553, 0.257, 0.281], [0.007, 0.456, 0.753], [0.580, 0.210, 0.726], [0.420, 0.790, 0.274], [0.993, 0.544, 0.247], [0.447, 0.743, 0.719], [0.196, 0.640, 0.509], [0.308, 0.350, 0.012], [0.500, 0.000, 0.500], [0.692, 0.650, 0.988], [0.804, 0.360, 0.491]], "dos_ef_per_ev_fu": 2.130, "total_energy_ry_per_atom": -0.3348}



# 2
{"formula": "LaAl6Ni3", "functional": "PBE-GGA", "state": "relaxed", "lattice_angstrom": [[-3.416, 1.498, 1.639], [1.838, -3.099, 6.665], [5.534, 8.056, 4.170]], "species": ["La", "La", "Al", "Al", "Al", "Al", "Al", "Al", "Al", "Al", "Al", "Al", "Al", "Al", "Ni", "Ni", "Ni", "Ni", "Ni", "Ni"], "fractional_positions": [[0.750, 0.051, 0.767], [0.250, 0.949, 0.233], [0.750, 0.397, 0.535], [0.250, 0.603, 0.465], [0.750, 0.741, 0.029], [0.250, 0.259, 0.971], [0.750, 0.331, 0.137], [0.250, 0.669, 0.863], [0.750, 0.609, 0.274], [0.250, 0.391, 0.726], [0.750, 0.101, 0.430], [0.250, 0.899, 0.570], [0.750, 0.654, 0.687], [0.250, 0.346, 0.313], [0.750, 0.457, 0.891], [0.250, 0.543, 0.109], [0.750, 0.769, 0.465], [0.250, 0.231, 0.535], [0.750, 0.084, 0.027], [0.250, 0.916, 0.973]], "dos_ef_per_ev_fu": 5.126, "total_energy_ry_per_atom": -0.3635, "ef_ev_per_atom": -0.47}



# 3
{"formula": "Sr3LiSm3Se8", "functional": "PBE-GGA", "state": "relaxed", "lattice_angstrom": [[8.481, 0.000, 0.000], [-4.240, 7.344, -0.026], [0.000, -4.871, 7.135]], "species": ["Sr", "Sr", "Sr", "Li", "Sm", "Sm", "Sm", "Se", "Se", "Se", "Se", "Se", "Se", "Se", "Se"], "fractional_positions": [[0.000, 0.000, 0.000], [0.000, 0.500, 0.000], [0.500, 0.500, 0.000], [0.000, 0.000, 0.500], [0.500, 0.000, 0.500], [0.500, 0.500, 0.500], [0.000, 0.500, 0.500], [0.255, 0.510, 0.265], [0.745, 0.490, 0.735], [0.758, 0.516, 0.274], [0.242, 0.484, 0.726], [0.758, 0.016, 0.274], [0.242, 0.984, 0.726], [0.258, 0.016, 0.274], [0.742, 0.984, 0.726]], "formation_energy_uncorrected_mev_per_atom": -1827.4, "total_energy_ry_per_atom": -0.3744}



# 4
{"formula": "Tb2PrNd2Er", "functional": "PBE-GGA", "state": "relaxed", "lattice_angstrom": [[5.720, 0.000, 0.000], [0.000, 7.043, 0.000], [0.000, 0.000, 9.935]], "species": ["Tb", "Tb", "Tb", "Tb", "Pr", "Pr", "Nd", "Nd", "Nd", "Nd", "Er", "Er"], "fractional_positions": [[0.000, 0.258, 0.835], [0.500, 0.257, 0.331], [0.000, 0.758, 0.165], [0.500, 0.757, 0.669], [0.000, 0.007, 0.500], [0.000, 0.507, 0.500], [0.500, 0.008, 0.000], [0.000, 0.258, 0.169], [0.500, 0.508, 0.000], [0.000, 0.758, 0.831], [0.500, 0.257, 0.665], [0.500, 0.757, 0.335]], "dos_ef_per_ev_fu": 8.687, "total_energy_ry_per_atom": -0.3400, "ef_ev_per_atom": 0.06}